No. 1
Here is Sm2Ho2TmMg5 after structural relaxation from the Alexandria database. Energies are from PBE.

```
Sm2Ho2TmMg5
1.0
-3.2807 -1.8882 3.3455
-5.9357 -3.7165 -7.9183
5.4209 -9.0731 0.1950
Sm Ho Tm Mg
4 4 2 10
Direct
0.0000 0.6775 0.1775
0.0000 0.3225 0.8225
0.0000 0.1775 0.3225
0.0000 0.8225 0.6775
0.0000 0.1196 0.6196
0.0000 0.8804 0.3804
0.0000 0.6196 0.8804
0.0000 0.3804 0.1196
0.0000 0.0000 0.0000
0.0000 0.5000 0.5000
0.5000 0.1974 0.0685
0.5000 0.8026 0.9315
0.5000 0.0685 0.8026
0.5000 0.6974 0.4315
0.5000 0.9315 0.1974
0.5000 0.3026 0.5685
0.5000 0.5685 0.6974
0.5000 0.4315 0.3026
0.5000 0.5000 0.0000
0.5000 0.0000 0.5000
```

Values from the calculation:
- Formation energy: 0.538 eV/f.u.
- Calculated volume: 565 Å³/cell

=====

No. 2
Here is Sm2Ho6Tm3Mg after structural relaxation from the Alexandria database. Energies are from PBE.

```
Sm2Ho6Tm3Mg
1.0
6.0782 -0.0036 -0.0009
-3.0408 5.2630 -0.0009
-1.0191 -1.7645 11.4636
Sm Ho Tm Mg
2 6 3 1
Direct
0.3338 0.6662 0.0000
0.6662 0.3338 0.0000
0.9167 0.5846 0.7480
0.7511 0.7511 0.2530
0.0833 0.4154 0.2520
0.5846 0.9167 0.7480
0.2489 0.2489 0.7470
0.4154 0.0833 0.2520
0.1657 0.8343 0.5000
0.8343 0.1657 0.5000
0.5000 0.5000 0.5000
0.0000 0.0000 0.0000
```

Values from the calculation:
- Formation energy: 0.303 eV/f.u.
- Calculated volume: 367 Å³/cell